# 1
Compound: Na3MgAlSi7O18
Source: Alexandria via LeMat-Bulk
Functional: PBE
Structure: optimized geometry

formation energy from raw total energies = -2.661 eV/atom
calculated total energy = -7.211 eV per atom
symmetry = C2

Unit cell a=14.315 b=14.315 c=5.313 alpha=93.68 beta=93.68 gamma=35.29
Atoms (fractional coordinates):
1 Na 0.000 0.000 0.000
2 Na 0.259 0.073 0.832
3 Na 0.326 0.337 0.663
4 Na 0.597 0.403 0.500
5 Na 0.663 0.674 0.337
6 Na 0.927 0.741 0.168
7 Mg 0.056 0.276 0.333
8 Mg 0.724 0.944 0.667
9 Al 0.201 0.799 0.500
10 Al 0.392 0.608 0.000
11 Si 0.112 0.697 0.785
12 Si 0.151 0.377 0.046
13 Si 0.295 0.510 0.284
14 Si 0.303 0.888 0.215
15 Si 0.440 0.035 0.444
16 Si 0.490 0.705 0.716
17 Si 0.534 0.133 0.167
18 Si 0.623 0.849 0.954
19 Si 0.630 0.230 0.889
20 Si 0.770 0.370 0.111
21 Si 0.816 0.044 0.376
22 Si 0.867 0.466 0.833
23 Si 0.956 0.184 0.624
24 Si 0.965 0.560 0.556
25 O 0.009 0.898 0.367
26 O 0.064 0.343 0.002
27 O 0.074 0.498 0.814
28 O 0.086 0.477 0.315
29 O 0.102 0.991 0.633
30 O 0.154 0.079 0.193
31 O 0.177 0.588 0.523
32 O 0.191 0.573 0.019
33 O 0.192 0.738 0.802
34 O 0.250 0.183 0.475
35 O 0.262 0.808 0.198
36 O 0.340 0.585 0.306
37 O 0.347 0.232 0.030
38 O 0.412 0.823 0.477
39 O 0.415 0.660 0.694
40 O 0.427 0.809 0.981
41 O 0.436 0.315 0.305
42 O 0.487 0.422 0.865
43 O 0.502 0.926 0.186
44 O 0.509 0.087 0.441
45 O 0.523 0.914 0.685
46 O 0.575 0.163 0.891
47 O 0.578 0.513 0.135
48 O 0.657 0.936 0.998
49 O 0.685 0.564 0.695
50 O 0.730 0.009 0.328
51 O 0.740 0.167 0.145
52 O 0.743 0.151 0.641
53 O 0.768 0.653 0.970
54 O 0.817 0.750 0.525
55 O 0.833 0.260 0.855
56 O 0.837 0.425 0.109
57 O 0.849 0.257 0.359
58 O 0.913 0.491 0.559
59 O 0.921 0.846 0.807
60 O 0.991 0.270 0.672

---

# 2
Compound: NaMg2AlP
Source: Alexandria via LeMat-Bulk
Functional: PBE
Structure: optimized geometry

calculated total energy = -2.583 eV per atom
symmetry = P4/mmm
ΔE_f = 0.149 eV per atom

Unit cell a=5.018 b=5.018 c=4.939 alpha=90.00 beta=90.00 gamma=90.00
Atoms (fractional coordinates):
1 Na 0.000 0.000 0.000
2 Mg 0.000 0.500 0.500
3 Mg 0.500 0.000 0.500
4 Al 0.500 0.500 0.000
5 P 0.500 0.500 0.500

---

# 3
Compound: NaMg2AlPd
Source: Alexandria via LeMat-Bulk
Functional: PBE
Structure: optimized geometry

calculated total energy = -2.892 eV per atom
symmetry = P4/mmm
ΔE_f = -0.204 eV per atom

Unit cell a=5.081 b=5.081 c=4.795 alpha=90.00 beta=90.00 gamma=90.00
Atoms (fractional coordinates):
1 Na 0.000 0.000 0.000
2 Mg 0.000 0.500 0.500
3 Mg 0.500 0.000 0.500
4 Al 0.500 0.500 0.000
5 Pd 0.500 0.500 0.500

---

# 4
Compound: NaPrMgAl
Source: Alexandria via LeMat-Bulk
Functional: PBE
Structure: optimized geometry

calculated total energy = -2.927 eV per atom
symmetry = F-43m
ΔE_f = -0.068 eV per atom

Unit cell a=5.204 b=5.204 c=5.204 alpha=60.00 beta=60.00 gamma=60.00
Atoms (fractional coordinates):
1 Na 0.000 0.000 0.000
2 Pr 0.250 0.250 0.250
3 Mg 0.750 0.750 0.750
4 Al 0.500 0.500 0.500

---

# 5
Compound: NaMg2AlPt
Source: Alexandria via LeMat-Bulk
Functional: PBE
Structure: optimized geometry

calculated total energy = -3.214 eV per atom
symmetry = P4/mmm
ΔE_f = -0.356 eV per atom

Unit cell a=5.100 b=5.100 c=4.791 alpha=90.00 beta=90.00 gamma=90.00
Atoms (fractional coordinates):
1 Na 0.000 0.000 0.000
2 Mg 0.000 0.500 0.500
3 Mg 0.500 0.000 0.500
4 Al 0.500 0.500 0.000
5 Pt 0.500 0.500 0.500

---

# 6
Compound: Rb2NaMgAl
Source: Alexandria via LeMat-Bulk
Functional: PBE
Structure: optimized geometry

calculated total energy = -1.079 eV per atom
symmetry = P4/mmm
ΔE_f = 0.639 eV per atom

Unit cell a=7.012 b=7.012 c=5.962 alpha=90.00 beta=90.00 gamma=90.00
Atoms (fractional coordinates):
1 Rb 0.000 0.500 0.000
2 Rb 0.500 0.000 0.000
3 Na 0.000 0.000 0.500
4 Mg 0.000 0.000 0.000
5 Al 0.500 0.500 0.500